## TaCoRe (SCAN)

Data for TaCoRe at its PBEsol-relaxed geometry.

Values from the calculation:
Fermi-level density of states (states/eV per cell): 4.0
Distance to the lowest polymorph of the same formula (meV/atom): 767
Formation enthalpy at 0 K (kJ/mol of atoms): 74

Cell lengths 4.169, 4.169, 4.169 Å; angles 60.00, 60.00, 60.00 degrees
Site moments in Bohr magnetons follow the coordinates.
Fractional positions:
Co 0.500 0.500 0.500  1.98
Re 0.250 0.250 0.250  0.39
Ta 0.000 0.000 0.000  0.36

## Sr2CaEu (SCAN)

Data for Sr2CaEu at its PBEsol-relaxed geometry.

Values from the calculation:
Fermi-level density of states (states/eV per cell): 9.0
Formation enthalpy at 0 K (kJ/mol of atoms): 4

Cell lengths 6.357, 6.357, 6.357 Å; angles 60.00, 60.00, 60.00 degrees
Site moments in Bohr magnetons follow the coordinates.
Fractional positions:
Sr 0.750 0.750 0.750  0.06
Sr 0.250 0.250 0.250  0.06
Ca 0.500 0.500 0.500  0.04
Eu 0.000 0.000 0.000  7.08

## LuB2Os (SCAN)

Data for LuB2Os at its PBEsol-relaxed geometry.

Values from the calculation:
Fermi-level density of states (states/eV per cell): 6.2
Formation enthalpy at 0 K (kJ/mol of atoms): -70

Cell lengths 5.221, 5.754, 6.252 Å; angles 90.00, 90.00, 90.00 degrees
Fractional positions:
B 0.419 0.859 0.037
B 0.081 0.859 0.037
B 0.081 0.359 0.463
B 0.581 0.141 0.963
B 0.919 0.141 0.963
B 0.419 0.359 0.463
B 0.919 0.641 0.537
B 0.581 0.641 0.537
Os 0.250 0.177 0.181
Os 0.250 0.677 0.319
Os 0.750 0.823 0.819
Os 0.750 0.323 0.681
Lu 0.750 0.991 0.333
Lu 0.250 0.009 0.667
Lu 0.750 0.491 0.167
Lu 0.250 0.509 0.833

## ZrHgP2 (SCAN)

Data for ZrHgP2 at its PBEsol-relaxed geometry.

Values from the calculation:
Fermi-level density of states (states/eV per cell): 1.7
Formation enthalpy at 0 K (kJ/mol of atoms): -48

Cell lengths 3.550, 3.782, 5.941 Å; angles 90.07, 107.39, 90.00 degrees
Fractional positions:
P 0.217 0.625 0.434
P 0.982 0.124 0.963
Zr 0.541 0.625 0.082
Hg 0.760 0.126 0.520

## KLaFe (SCAN)

Data for KLaFe at its PBEsol-relaxed geometry.

Values from the calculation:
Fermi-level density of states (states/eV per cell): 3.5
Formation enthalpy at 0 K (kJ/mol of atoms): 86

Cell lengths 4.045, 4.045, 6.368 Å; angles 90.00, 90.00, 120.00 degrees
Fractional positions:
Fe 0.000 0.000 0.500
La 0.667 0.333 0.500
K 0.333 0.667 0.000

## BeCuP2S (SCAN)

Data for BeCuP2S at its PBEsol-relaxed geometry.

Values from the calculation:
Fermi-level density of states (states/eV per cell): 2.6
Formation energy from raw total energies (eV per atom): 0.842

Cell lengths 4.119, 4.119, 4.361 Å; angles 90.00, 90.00, 90.00 degrees
Fractional positions:
P 0.500 0.000 0.000
P 0.000 0.500 0.000
S 0.000 0.000 0.500
Be 0.000 0.000 0.000
Cu 0.500 0.500 0.500

## Cs2MgBeSn (SCAN)

Data for Cs2MgBeSn at its PBEsol-relaxed geometry.

Values from the calculation:
Fermi-level density of states (states/eV per cell): 1.5
Formation enthalpy at 0 K (kJ/mol of atoms): 26

Cell lengths 4.491, 6.939, 6.939 Å; angles 90.00, 90.00, 90.00 degrees
Fractional positions:
Cs 0.000 0.000 0.500
Cs 0.000 0.500 0.000
Be 0.000 0.000 0.000
Sn 0.500 0.000 0.000
Mg 0.500 0.500 0.500

## Cu8GeSe6 (SCAN)

Data for Cu8GeSe6 at its PBEsol-relaxed geometry.

Values from the calculation:
Formation energy from raw total energies (eV per atom): -0.116

Cell lengths 7.239, 7.239, 11.424 Å; angles 90.10, 90.10, 119.88 degrees
Fractional positions:
Cu 0.529 0.470 0.843
Cu 0.796 0.181 0.446
Cu 0.181 0.796 0.946
Cu 0.515 0.042 0.074
Cu 0.384 0.182 0.450
Cu 0.182 0.384 0.950
Cu 0.042 0.515 0.574
Cu 0.531 0.064 0.840
Cu 0.473 0.949 0.301
Cu 0.949 0.473 0.801
Cu 0.470 0.529 0.343
Cu 0.805 0.610 0.457
Cu 0.479 0.518 0.578
Cu 0.518 0.479 0.078
Cu 0.064 0.531 0.340
Cu 0.610 0.805 0.957
Se 0.629 0.810 0.744
Se 0.998 0.997 0.485
Se 0.199 0.828 0.736
Se 0.190 0.352 0.737
Se 0.313 0.661 0.098
Se 0.997 0.998 0.985
Se 0.360 0.720 0.462
Se 0.720 0.360 0.962
Se 0.828 0.199 0.236
Se 0.810 0.629 0.244
Se 0.661 0.313 0.598
Se 0.352 0.190 0.237
Ge 0.991 0.984 0.690
Ge 0.984 0.991 0.190